{"formula": "AcTm2Tc", "functional": "PBE", "state": "relaxed", "lattice_angstrom": [[-1.1156, 3.2312, -0.7596], [-1.9921, -0.0108, 2.8799], [7.0663, 3.5921, 4.9013]], "species": ["Tm", "Tm", "Tc", "Ac"], "fractional_positions": [[0.0000, 0.0000, 0.8290], [0.0000, 0.0000, 0.1710], [0.5000, 0.5000, 0.0000], [0.5000, 0.5000, 0.5000]], "total_magnetization_mub_per_cell": 0.0, "de_polymorph_mev_per_atom": 0, "delta_e_f_ev_per_fu": 0.1}


{"formula": "Na2Sb2Te3", "functional": "PBE", "state": "relaxed", "lattice_angstrom": [[-2.1843, -2.4300, -2.7247], [8.1133, -1.3671, -1.9566], [-1.9591, -4.2786, 5.3869]], "species": ["Sb", "Sb", "Te", "Te", "Te", "Na", "Na"], "fractional_positions": [[0.3832, 0.7658, 0.1516], [0.6168, 0.2342, 0.8484], [0.7897, 0.5801, 0.2798], [0.0000, 0.0000, 0.0000], [0.2103, 0.4199, 0.7202], [0.3979, 0.7968, 0.6504], [0.6021, 0.2032, 0.3496]], "total_magnetization_mub_per_cell": 0.0, "energy_ev_per_fu": -22.719}


{"formula": "HoTm8Co2", "functional": "PBE", "state": "relaxed", "lattice_angstrom": [[-2.4381, -5.7531, -0.8624], [6.4387, -2.1827, -2.7006], [4.7031, -2.5963, 4.9653]], "species": ["Co", "Co", "Tm", "Tm", "Tm", "Tm", "Tm", "Tm", "Tm", "Tm", "Ho"], "fractional_positions": [[0.9964, 0.7850, 0.7850], [0.0036, 0.2150, 0.2150], [0.8124, 0.5548, 0.1332], [0.1876, 0.8668, 0.4452], [0.2940, 0.3845, 0.3845], [0.1876, 0.4452, 0.8668], [0.4256, 0.8634, 0.8634], [0.7060, 0.6155, 0.6155], [0.5744, 0.1366, 0.1366], [0.8124, 0.1332, 0.5548], [0.0000, 0.0000, 0.0000]], "total_magnetization_mub_per_cell": 0.0, "delta_e_f_ev_per_fu": 0.1}